DFT (PBE) results for a geometry-optimized Tb6Tl3Cd structure.

Cell lengths 9.4365, 5.3632, 11.7149 Å; angles 90.00, 107.76, 90.00 degrees
Space group P2_1/m (No. 11)
Symmetry-distinct sites (fractional):
Tb 0.0366 0.2500 0.4081 x2
Tb 0.1605 0.7500 0.1803 x2
Tb 0.2581 0.2500 0.0020 x2
Tb 0.3461 0.7500 0.8100 x2
Tb 0.3690 0.2500 0.3362 x2
Tb 0.4026 0.2500 0.6196 x2
Tl 0.0316 0.7500 0.8878 x2
Tl 0.1290 0.2500 0.7152 x2
Tl 0.2758 0.7500 0.4731 x2
Cd 0.4537 0.7500 0.1029 x2

Summary:
Fermi-level density of states: 1.12 states/eV per atom
Energy of formation: -0.253 eV per atom

DFT (PBE) results for a geometry-optimized Sc6HgRu2 structure.

Cell lengths 8.7273, 8.8407, 9.8631 Å; angles 90.00, 90.00, 90.00 degrees
Space group Immm (No. 71)
Symmetry-distinct sites (fractional):
Sc 0.0000 0.2047 0.2419 x8
Sc 0.1923 0.5000 0.1690 x8
Sc 0.2142 0.3162 0.5000 x8
Hg 0.0000 0.0000 0.0000 x2
Hg 0.0000 0.0000 0.5000 x2
Ru 0.0000 0.3298 0.0000 x4
Ru 0.0000 0.5000 0.3651 x4

Summary:
Fermi-level density of states: 1.03 states/eV per atom
Energy of formation: -0.399 eV per atom

DFT (PBE) results for a geometry-optimized CsSi3Sn structure.

Cell lengths 5.4121, 5.4121, 5.4121 Å; angles 90.00, 90.00, 90.00 degrees
Space group Pm-3m (No. 221)
Symmetry-distinct sites (fractional):
Cs 0.0000 0.0000 0.0000 x1
Si 0.0000 0.5000 0.5000 x3
Sn 0.5000 0.5000 0.5000 x1

Summary:
Formation energy from raw total energies: 4.737 eV/f.u.
Fermi-level density of states: 0.72 states/eV per atom
Relative energy among the computed polymorphs: 0.00 eV/f.u.

DFT (PBE) results for a geometry-optimized YScTeIr2 structure.

Cell lengths 4.9316, 4.9316, 5.3230 Å; angles 90.00, 90.00, 90.00 degrees
Space group P4/mmm (No. 123)
Symmetry-distinct sites (fractional):
Y 0.0000 0.0000 0.0000 x1
Sc 0.5000 0.5000 0.0000 x1
Te 0.0000 0.0000 0.5000 x1
Ir 0.0000 0.5000 0.5000 x2

Summary:
Formation energy from raw total energies: 3.501 eV/f.u.
Fermi-level density of states: 1.40 states/eV per atom

DFT (PBE) results for a geometry-optimized ZrOsS3 structure.

Cell lengths 4.9387, 4.9387, 4.9387 Å; angles 90.00, 90.00, 90.00 degrees
Space group Pm-3m (No. 221)
Symmetry-distinct sites (fractional):
Zr 0.0000 0.0000 0.0000 x1
Os 0.5000 0.5000 0.5000 x1
S 0.0000 0.0000 0.5000 x3

Summary:
Formation energy from raw total energies: 3.475 eV/f.u.
Fermi-level density of states: 1.27 states/eV per atom

DFT (PBE) results for a geometry-optimized SiIr2Cl structure.

Cell lengths 2.7875, 4.1615, 5.2432 Å; angles 90.00, 90.00, 90.00 degrees
Space group Pmmm (No. 47)
Symmetry-distinct sites (fractional):
Si 0.0000 0.0000 0.0000 x1
Ir 0.0000 0.5000 0.5000 x1
Ir 0.5000 0.5000 0.0000 x1
Cl 0.5000 0.0000 0.5000 x1

Summary:
Formation energy from raw total energies: 1.722 eV/f.u.
Fermi-level density of states: 0.56 states/eV per atom
Relative energy among the computed polymorphs: 2.62 eV/f.u.

DFT (PBE) results for a geometry-optimized ErTh2As3Rh4 structure.

Cell lengths 4.1360, 4.1360, 11.4526 Å; angles 90.00, 90.00, 90.00 degrees
Space group P-4m2 (No. 115)
Symmetry-distinct sites (fractional):
Er 0.0000 0.0000 0.0000 x1
Th 0.0000 0.5000 0.7226 x2
As 0.0000 0.5000 0.3715 x2
As 0.5000 0.5000 0.0000 x1
Rh 0.0000 0.0000 0.5000 x1
Rh 0.0000 0.5000 0.1590 x2
Rh 0.5000 0.5000 0.5000 x1

Summary:
Fermi-level density of states: 0.59 states/eV per atom
Energy of formation: -0.980 eV per atom

DFT (PBE) results for a geometry-optimized NaCr structure.

Cell lengths 6.2188, 6.2188, 6.2188 Å; angles 90.00, 90.00, 90.00 degrees
Space group Fm-3m (No. 225)
Symmetry-distinct sites (fractional):
Na 0.0000 0.0000 0.0000 x4
Cr 0.0000 0.0000 0.5000 x4

Summary:
Fermi-level density of states: 0.31 states/eV per atom
Relative energy among the computed polymorphs: 1.17 eV/f.u.
Energy of formation: 1.370 eV per atom

DFT (PBE) results for a geometry-optimized AgIF structure.

Cell lengths 4.3421, 4.3421, 7.3477 Å; angles 90.00, 90.00, 90.00 degrees
Space group I4mm (No. 107)
Symmetry-distinct sites (fractional):
Ag 0.0000 0.0000 0.0000 x2
I 0.0000 0.0000 0.3716 x2
F 0.0000 0.0000 0.7105 x2

Summary:
Formation energy from raw total energies: -1.338 eV/f.u.
Fermi-level density of states: 0.79 states/eV per atom
Relative energy among the computed polymorphs: 0.58 eV/f.u.

DFT (PBE) results for a geometry-optimized CaPrSm3 structure.

Cell lengths 5.5032, 11.4885, 11.4381 Å; angles 90.00, 90.00, 90.00 degrees
Space group Cmmm (No. 65)
Symmetry-distinct sites (fractional):
Ca 0.0000 0.1561 0.0000 x4
Pr 0.0000 0.3628 0.5000 x4
Sm 0.0000 0.1529 0.3041 x8
Sm 0.0000 0.5000 0.1838 x4

Summary:
Fermi-level density of states: 1.60 states/eV per atom
Relative energy among the computed polymorphs: 0.00 eV/f.u.
Energy of formation: 0.183 eV per atom

DFT (PBE) results for a geometry-optimized Nd4Y3Te8 structure.

Cell lengths 12.4958, 12.5030, 8.8404 Å; angles 90.00, 134.97, 90.00 degrees
Space group C2/m (No. 12)
Symmetry-distinct sites (fractional):
Nd 0.0000 0.0000 0.0000 x2
Nd 0.0000 0.5000 0.5000 x2
Nd 0.2500 0.2500 0.0000 x4
Y 0.0000 0.5000 0.0000 x2
Y 0.2500 0.2500 0.5000 x4
Te 0.0000 0.2416 0.5000 x4
Te 0.0000 0.2535 0.0000 x4
Te 0.2450 0.0000 0.5070 x4
Te 0.2453 0.0000 0.9836 x4

Summary:
Formation energy from raw total energies: -21.334 eV/f.u.
Fermi-level density of states: 0.48 states/eV per atom

DFT (PBE) results for a geometry-optimized PmScCuO4 structure.

Cell lengths 6.2768, 7.1189, 9.3211 Å; angles 90.00, 90.00, 90.00 degrees
Space group Imma (No. 74)
Symmetry-distinct sites (fractional):
Pm 0.0000 0.0000 0.0000 x4
Sc 0.2500 0.2500 0.2500 x4
Cu 0.0000 0.2500 0.5949 x4
O 0.0000 0.0498 0.2452 x8
O 0.2460 0.2500 0.0122 x8

Summary:
Formation energy from raw total energies: -16.581 eV/f.u.
Fermi-level density of states: 0.56 states/eV per atom